No. 1
Ce2PmTh6, optimized geometry, DFT PBE; calculated volume = 31.943 A^3/atom; raw total energy = -6.684 eV per atom; formation enthalpy at 0 K = 109 meV per atom
1.0
3.5107 0.0000 0.0000
-1.7553 3.0403 0.0000
0.0000 0.0000 26.9348
Ce Pm Th
2 1 6
Cartesian
0.0000 0.0000 4.5671
0.0000 0.0000 22.3676
0.0000 2.0269 13.4674
0.0000 0.0000 10.4272
0.0000 0.0000 16.5076
0.0000 2.0269 1.6599
0.0000 2.0269 7.4707
0.0000 2.0269 19.4641
0.0000 2.0269 25.2749

No. 2
K3Ni, optimized geometry, DFT PBE; relative energy among the computed polymorphs = 9.6 kJ/mol of atoms; calculated volume = 42.642 A^3/atom; raw total energy = -1.655 eV per atom; formation enthalpy at 0 K = 613 meV per atom
1.0
3.9179 -3.9227 0.0000
3.9179 3.9227 0.0000
0.0000 0.0000 5.5492
K Ni
3 1
Cartesian
0.0000 0.0000 0.0000
1.9590 1.9613 2.7746
1.9590 -1.9613 2.7746
3.9179 0.0000 0.0000

Which of these has the highest calculated volume?
K3Ni

The lowest raw total energy belongs to which entry?
Ce2PmTh6

Look up the calculated volume of the second one.
42.642 A^3/atom